VASP calculation (GGA-PBE) on an optimized crystal structure of SnMo.

Summary:
The energy above the lowest structure with this stoichiometry comes out at 0.06 eV/f.u. The spin magnetization is 0.00 μB/cell. The value obtained for the formation energy is 0.27 eV/atom. For the volume, the calculation gives 255.58 Å³/cell.

Lattice parameters (Å, degrees): 3.161 12.181 6.638 90.00 90.00 90.00
Atoms (fractional coordinates):
Sn: 0.000 0.241 0.296
Sn: 0.500 0.000 0.959
Sn: 0.000 0.259 0.796
Sn: 0.000 0.759 0.296
Sn: 0.500 0.500 0.459
Sn: 0.000 0.741 0.796
Mo: 0.500 0.893 0.566
Mo: 0.000 0.500 0.820
Mo: 0.500 0.393 0.066
Mo: 0.500 0.107 0.566
Mo: 0.500 0.607 0.066
Mo: 0.000 0.000 0.320

***

VASP calculation (GGA-PBE) on an optimized crystal structure of SrSn3Mo.

Summary:
The energy above the lowest structure with this stoichiometry comes out at 10.14 eV/f.u. The spin magnetization is 0.00 μB/cell. The value obtained for the formation energy is 2.01 eV/atom. For the volume, the calculation gives 182.49 Å³/cell.

Lattice parameters (Å, degrees): 5.672 5.672 5.672 90.00 90.00 90.00
Atoms (fractional coordinates):
Sn: 0.000 0.000 0.500
Sn: 0.500 0.000 0.000
Sn: 0.000 0.500 0.000
Mo: 0.500 0.500 0.500
Sr: 0.000 0.000 0.000